P.
# SiAuS2N | Alexandria | PBE | relaxed
# Fermi-level density of states = 3.10 states/eV/cell
# space-group type = P4/mmm (123)
data_SiAuS2N
_cell_length_a 5.035
_cell_length_b 5.035
_cell_length_c 3.768
_cell_angle_alpha 90.00
_cell_angle_beta 90.00
_cell_angle_gamma 90.00
_space_group_name_H-M_alt 'P 1'
_space_group_IT_number 1
loop_
_space_group_symop_operation_xyz
'x,y,z'
loop_
_atom_site_label
_atom_site_type_symbol
_atom_site_fract_x
_atom_site_fract_y
_atom_site_fract_z
_atom_site_occupancy
S1 S 0.000 0.500 0.000 1
S2 S 0.500 0.000 0.000 1
Au1 Au 0.000 0.000 0.000 1
Si1 Si 0.500 0.500 0.500 1
N1 N 0.000 0.000 0.500 1

Q.
# SiAuS2N | Alexandria | PBE | relaxed
# Fermi-level density of states = 4.00 states/eV/cell
# space-group type = P4/mmm (123)
data_SiAuS2N
_cell_length_a 4.885
_cell_length_b 4.885
_cell_length_c 3.252
_cell_angle_alpha 90.00
_cell_angle_beta 90.00
_cell_angle_gamma 90.00
_space_group_name_H-M_alt 'P 1'
_space_group_IT_number 1
loop_
_space_group_symop_operation_xyz
'x,y,z'
loop_
_atom_site_label
_atom_site_type_symbol
_atom_site_fract_x
_atom_site_fract_y
_atom_site_fract_z
_atom_site_occupancy
S1 S 0.000 0.500 0.000 1
S2 S 0.500 0.000 0.000 1
Au1 Au 0.500 0.500 0.500 1
Si1 Si 0.000 0.000 0.000 1
N1 N 0.000 0.000 0.500 1

Stability ranking, top and bottom: Q is the most stable and P is the least stable.

P.
# SrAuS2N | Alexandria | PBE | relaxed
# Fermi-level density of states = 7.92 states/eV/cell
# space-group type = P4/mmm (123)
data_SrAuS2N
_cell_length_a 5.598
_cell_length_b 5.598
_cell_length_c 4.464
_cell_angle_alpha 90.00
_cell_angle_beta 90.00
_cell_angle_gamma 90.00
_space_group_name_H-M_alt 'P 1'
_space_group_IT_number 1
loop_
_space_group_symop_operation_xyz
'x,y,z'
loop_
_atom_site_label
_atom_site_type_symbol
_atom_site_fract_x
_atom_site_fract_y
_atom_site_fract_z
_atom_site_occupancy
Sr1 Sr 0.000 0.000 0.000 1
S1 S 0.000 0.500 0.000 1
S2 S 0.500 0.000 0.000 1
Au1 Au 0.500 0.500 0.500 1
N1 N 0.000 0.000 0.500 1

Q.
# SrAuS2N | Alexandria | PBE | relaxed
# Fermi-level density of states = 2.35 states/eV/cell
# space-group type = P4/mmm (123)
data_SrAuS2N
_cell_length_a 5.104
_cell_length_b 5.104
_cell_length_c 4.005
_cell_angle_alpha 90.00
_cell_angle_beta 90.00
_cell_angle_gamma 90.00
_space_group_name_H-M_alt 'P 1'
_space_group_IT_number 1
loop_
_space_group_symop_operation_xyz
'x,y,z'
loop_
_atom_site_label
_atom_site_type_symbol
_atom_site_fract_x
_atom_site_fract_y
_atom_site_fract_z
_atom_site_occupancy
Sr1 Sr 0.500 0.500 0.500 1
S1 S 0.000 0.500 0.000 1
S2 S 0.500 0.000 0.000 1
Au1 Au 0.000 0.000 0.000 1
N1 N 0.000 0.000 0.500 1

Stability ranking, top and bottom: Q is the most stable and P is the least stable.

P.
# TlAuS2N | Alexandria | PBE | relaxed
# Fermi-level density of states = 4.06 states/eV/cell
# space-group type = P4/mmm (123)
data_TlAuS2N
_cell_length_a 5.200
_cell_length_b 5.200
_cell_length_c 3.817
_cell_angle_alpha 90.00
_cell_angle_beta 90.00
_cell_angle_gamma 90.00
_space_group_name_H-M_alt 'P 1'
_space_group_IT_number 1
loop_
_space_group_symop_operation_xyz
'x,y,z'
loop_
_atom_site_label
_atom_site_type_symbol
_atom_site_fract_x
_atom_site_fract_y
_atom_site_fract_z
_atom_site_occupancy
Tl1 Tl 0.500 0.500 0.500 1
Au1 Au 0.000 0.000 0.000 1
S1 S 0.000 0.500 0.000 1
S2 S 0.500 0.000 0.000 1
N1 N 0.000 0.000 0.500 1

Q.
# TlAuS2N | Alexandria | PBE | relaxed
# Fermi-level density of states = 4.17 states/eV/cell
# space-group type = P4/mmm (123)
data_TlAuS2N
_cell_length_a 5.244
_cell_length_b 5.244
_cell_length_c 4.297
_cell_angle_alpha 90.00
_cell_angle_beta 90.00
_cell_angle_gamma 90.00
_space_group_name_H-M_alt 'P 1'
_space_group_IT_number 1
loop_
_space_group_symop_operation_xyz
'x,y,z'
loop_
_atom_site_label
_atom_site_type_symbol
_atom_site_fract_x
_atom_site_fract_y
_atom_site_fract_z
_atom_site_occupancy
Tl1 Tl 0.000 0.000 0.000 1
Au1 Au 0.500 0.500 0.500 1
S1 S 0.000 0.500 0.000 1
S2 S 0.500 0.000 0.000 1
N1 N 0.000 0.000 0.500 1

Stability ranking, top and bottom: P is the most stable and Q is the least stable.

P.
# WAuS2N | Alexandria | PBE | relaxed
# Fermi-level density of states = 3.56 states/eV/cell
# space-group type = P4/mmm (123)
data_WAuS2N
_cell_length_a 4.981
_cell_length_b 3.718
_cell_length_c 4.981
_cell_angle_alpha 90.00
_cell_angle_beta 90.00
_cell_angle_gamma 90.00
_space_group_name_H-M_alt 'P 1'
_space_group_IT_number 1
loop_
_space_group_symop_operation_xyz
'x,y,z'
loop_
_atom_site_label
_atom_site_type_symbol
_atom_site_fract_x
_atom_site_fract_y
_atom_site_fract_z
_atom_site_occupancy
S1 S 0.000 0.000 0.500 1
S2 S 0.500 0.000 0.000 1
Au1 Au 0.000 0.000 0.000 1
W1 W 0.500 0.500 0.500 1
N1 N 0.000 0.500 0.000 1

Q.
# WAuS2N | Alexandria | PBE | relaxed
# Fermi-level density of states = 4.64 states/eV/cell
# space-group type = P4/mmm (123)
data_WAuS2N
_cell_length_a 4.826
_cell_length_b 4.826
_cell_length_c 3.811
_cell_angle_alpha 90.00
_cell_angle_beta 90.00
_cell_angle_gamma 90.00
_space_group_name_H-M_alt 'P 1'
_space_group_IT_number 1
loop_
_space_group_symop_operation_xyz
'x,y,z'
loop_
_atom_site_label
_atom_site_type_symbol
_atom_site_fract_x
_atom_site_fract_y
_atom_site_fract_z
_atom_site_occupancy
S1 S 0.000 0.500 0.000 1
S2 S 0.500 0.000 0.000 1
Au1 Au 0.500 0.500 0.500 1
W1 W 0.000 0.000 0.000 1
N1 N 0.000 0.000 0.500 1

Stability ranking, top and bottom: Q is the most stable and P is the least stable.